Density functional theory data (GGA-PBE) for TlHg2Rh2 after structural relaxation.

## Properties
The energy above the most stable polymorph in this dataset is 213 meV/atom.

abc: 8.115 8.115 3.051
angles: 90.00 90.00 90.00
Space group P4/mbm (No. 127)
Symmetry-distinct sites (fractional):
Tl: 0.000 0.000 0.000 [2 per cell]
Hg: 0.167 0.333 0.000 [4 per cell]
Rh: 0.125 0.625 0.500 [4 per cell]

Density functional theory data (GGA-PBE) for Tm2Al2Zn after structural relaxation.

abc: 3.374 4.426 14.035
angles: 90.00 90.00 90.00
Space group Amm2 (No. 38)
Symmetry-distinct sites (fractional):
Tm: 0.000 0.000 0.000 [2 per cell]
Tm: 0.000 0.000 0.232 [2 per cell]
Al: 0.500 0.000 0.617 [2 per cell]
Al: 0.500 0.000 0.818 [2 per cell]
Zn: 0.500 0.000 0.417 [2 per cell]

Number 1: calculated formation energy 0.2969 eV/atom, M_tot 0.0 μB/f.u.. Number 2: calculated formation energy -0.4012 eV/atom, M_tot 0.0 μB/f.u..